Material: ZrPd2Pt3
Method: DFT, GGA-PBE
State: optimized geometry

Properties
ρ in g/cm³: 14.6
Formation energy from the elements in eV per atom: -0.482
VASP energy in Ry per atom: -0.489
Density of states at the Fermi level in states/eV/f.u.: 5.3
Magnetization in μB/f.u.: 0.00
Symmetry: Cmcm, No. 63

abc: 7.498 7.498 5.176
angles: 90.00 90.00 136.11
Atoms (fractional coordinates):
Zr1 0.155 0.845 0.750
Zr2 0.845 0.155 0.250
Pd1 0.255 0.255 0.000
Pd2 0.255 0.255 0.500
Pd3 0.745 0.745 0.000
Pd4 0.745 0.745 0.500
Pt1 0.072 0.422 0.750
Pt2 0.346 0.654 0.250
Pt3 0.422 0.072 0.250
Pt4 0.578 0.928 0.750
Pt5 0.654 0.346 0.750
Pt6 0.928 0.578 0.250